Record 1
Entry from Alexandria: an optimized crystal structure of VCu2Pd (PBE).

Summary:
Total magnetization in μB/f.u.: 0.00
Formation energy from the elements in meV/atom: 273
Symmetry: R-3m, No. 166

Cell lengths 2.6181, 2.6181, 9.5199 Å; angles 82.10, 82.10, 60.00 degrees
Positions (direct):
Cu 0.9133 0.9133 0.2600
V 0.0000 0.0000 0.0000
Pd 0.5000 0.5000 0.5000
Cu 0.0867 0.0867 0.7400

Record 2
Entry from Alexandria: an optimized crystal structure of VCu2Pd2 (PBE).

Summary:
Total magnetization in μB/f.u.: 2.48
Formation energy from the elements in meV/atom: 79
Symmetry: P4/mbm, No. 127

Cell lengths 7.0361, 7.0361, 2.9145 Å; angles 90.00, 90.00, 90.00 degrees
Positions (direct):
Cu 0.8767 0.6233 0.0000
Pd 0.6749 0.8251 0.5000
V 0.5000 0.5000 0.0000
Pd 0.8251 0.3251 0.5000
Cu 0.1233 0.3767 0.0000
Pd 0.1749 0.6749 0.5000
Cu 0.3767 0.8767 0.0000
Cu 0.6233 0.1233 0.0000
V 0.0000 0.0000 0.0000
Pd 0.3251 0.1749 0.5000

Record 3
Entry from Alexandria: an optimized crystal structure of VCu2Pd9 (PBE).

Summary:
Total magnetization in μB/f.u.: 0.00
Formation energy from the elements in meV/atom: -130
Symmetry: P4/mmm, No. 123

Cell lengths 3.8904, 3.8904, 11.6688 Å; angles 90.00, 90.00, 90.00 degrees
Positions (direct):
Pd 0.5000 0.0000 0.8373
Pd 0.5000 0.5000 0.3312
Pd 0.5000 0.0000 0.1627
Pd 0.5000 0.0000 0.5000
Pd 0.0000 0.5000 0.8373
V 0.0000 0.0000 0.0000
Pd 0.5000 0.5000 0.6688
Pd 0.5000 0.5000 0.0000
Pd 0.0000 0.5000 0.5000
Pd 0.0000 0.5000 0.1627
Cu 0.0000 0.0000 0.6647
Cu 0.0000 0.0000 0.3353

Record 4
Entry from Alexandria: an optimized crystal structure of VCu2Pd (PBE).

Summary:
Total magnetization in μB/f.u.: 0.18
Formation energy from the elements in meV/atom: 57
Symmetry: Fm-3m, No. 225

Cell lengths 4.2108, 4.2108, 4.2108 Å; angles 60.00, 60.00, 60.00 degrees
Positions (direct):
Pd 0.0000 0.0000 0.0000
Cu 0.7500 0.7500 0.7500
V 0.5000 0.5000 0.5000
Cu 0.2500 0.2500 0.2500

Record 5
Entry from Alexandria: an optimized crystal structure of VCu2Pd2 (PBE).

Summary:
Total magnetization in μB/f.u.: 1.87
Formation energy from the elements in meV/atom: 126
Symmetry: P4/mbm, No. 127

Cell lengths 7.1458, 7.1458, 2.8472 Å; angles 90.00, 90.00, 90.00 degrees
Positions (direct):
Cu 0.3422 0.1578 0.5000
Pd 0.6405 0.1405 0.0000
V 0.0000 0.0000 0.0000
Cu 0.1578 0.6578 0.5000
Pd 0.1405 0.3595 0.0000
Cu 0.6578 0.8422 0.5000
V 0.5000 0.5000 0.0000
Pd 0.3595 0.8595 0.0000
Cu 0.8422 0.3422 0.5000
Pd 0.8595 0.6405 0.0000

Record 6
Entry from Alexandria: an optimized crystal structure of V5Cu3Pd12 (PBE).

Summary:
Total magnetization in μB/f.u.: 3.03
Formation energy from the elements in meV/atom: 459
Symmetry: Ia-3d, No. 230

Cell lengths 12.3152, 12.3152, 12.3152 Å; angles 109.47, 109.47, 109.47 degrees
Positions (direct):
Pd 0.8964 0.8288 0.7702
V 0.3750 0.1250 0.7500
Pd 0.1036 0.9323 0.3738
Pd 0.3964 0.2702 0.3288
Pd 0.3288 0.7702 0.3964
Pd 0.5677 0.6262 0.3964
Pd 0.2298 0.5586 0.6262
Pd 0.0586 0.6262 0.7298
Pd 0.5586 0.2298 0.1262
Pd 0.8288 0.8964 0.2702
V 0.2500 0.3750 0.6250
Pd 0.9323 0.1036 0.8738
Pd 0.9323 0.8288 0.5586
V 0.5000 0.0000 0.0000
V 0.1250 0.7500 0.3750
Cu 0.1250 0.8750 0.7500
Cu 0.7500 0.8750 0.6250
Cu 0.2500 0.1250 0.3750
V 0.5000 0.0000 0.5000
V 0.3750 0.2500 0.1250
Pd 0.5677 0.9414 0.6712
Pd 0.1262 0.7298 0.5586
V 0.6250 0.7500 0.8750
Pd 0.6036 0.8738 0.4323
Pd 0.0677 0.1712 0.4414
Pd 0.0677 0.8964 0.1262
V 0.1250 0.3750 0.2500
Pd 0.4414 0.6712 0.0677
Pd 0.7702 0.3288 0.8964
Pd 0.3738 0.9414 0.7702
Pd 0.3964 0.1262 0.5677
Pd 0.6262 0.5677 0.8964
Cu 0.1250 0.2500 0.8750
V 0.5000 0.5000 0.5000
Pd 0.1262 0.3964 0.0677
Cu 0.6250 0.2500 0.3750
Pd 0.8738 0.2702 0.4414
Pd 0.3738 0.4323 0.1036
Pd 0.6262 0.0586 0.2298
V 0.0000 0.0000 0.0000
Pd 0.7298 0.1262 0.0586
Pd 0.2298 0.6712 0.1036
V 0.6250 0.8750 0.2500
Cu 0.3750 0.6250 0.2500
Pd 0.4414 0.7702 0.8738
V 0.2500 0.8750 0.1250
Pd 0.2702 0.3964 0.8288
Cu 0.7500 0.3750 0.1250
Pd 0.4323 0.0586 0.3288
Pd 0.8738 0.6036 0.9323
Cu 0.2500 0.6250 0.8750
V 0.0000 0.5000 0.0000
Pd 0.1712 0.0677 0.9414
Pd 0.7298 0.6036 0.1712
Cu 0.6250 0.3750 0.7500
Pd 0.1712 0.1036 0.7298
V 0.5000 0.5000 0.0000
Pd 0.9414 0.3738 0.2702
Pd 0.5586 0.3288 0.9323
Pd 0.8964 0.0677 0.6262
V 0.8750 0.2500 0.6250
Pd 0.4323 0.3738 0.6036
Pd 0.2702 0.8738 0.9414
Pd 0.0586 0.4323 0.8288
Cu 0.8750 0.7500 0.1250
V 0.7500 0.6250 0.3750
Pd 0.3288 0.5586 0.4323
Cu 0.8750 0.1250 0.2500
Pd 0.9414 0.5677 0.1712
V 0.8750 0.6250 0.7500
Pd 0.6036 0.7298 0.6712
Pd 0.6712 0.4414 0.5677
V 0.7500 0.1250 0.8750
V 0.0000 0.5000 0.5000
Pd 0.7702 0.4414 0.3738
Cu 0.3750 0.7500 0.6250
Pd 0.1036 0.1712 0.2298
Pd 0.6712 0.2298 0.6036
V 0.0000 0.0000 0.5000
Pd 0.8288 0.9323 0.0586

Record 7
Entry from Alexandria: an optimized crystal structure of VCu2Pd (PBE).

Summary:
Total magnetization in μB/f.u.: 2.68
Formation energy from the elements in meV/atom: 432
Symmetry: I-42d, No. 122

Cell lengths 6.8681, 6.8681, 5.4765 Å; angles 51.17, 51.17, 90.00 degrees
Positions (direct):
V 0.2500 0.7500 0.5000
Cu 0.3750 0.3763 0.7500
Cu 0.6237 0.1250 0.2500
Pd 0.7500 0.2500 0.5000
Cu 0.1263 0.6250 0.2500
Pd 0.0000 0.0000 0.0000
Cu 0.8750 0.8737 0.7500
V 0.5000 0.5000 0.0000

Record 8
Entry from Alexandria: an optimized crystal structure of V2Cu5Pd12 (PBE).

Summary:
Total magnetization in μB/f.u.: 0.00
Formation energy from the elements in meV/atom: -59
Symmetry: C2/m, No. 12

Cell lengths 8.1658, 7.1068, 5.9551 Å; angles 89.25, 90.00, 125.06 degrees
Positions (direct):
Cu 0.3334 0.6668 0.0975
Pd 0.5757 0.6275 0.8068
Pd 0.3668 0.2072 0.6189
Pd 0.6332 0.7928 0.3811
Cu 0.2408 0.4816 0.5103
Pd 0.4243 0.3725 0.1932
Pd 0.5477 0.0954 0.2768
Cu 0.6666 0.3332 0.9025
V 0.2621 0.0000 0.0000
Pd 0.1180 0.2360 0.9033
Pd 0.8820 0.7640 0.0967
Cu 0.0000 0.0000 0.5000
V 0.7379 0.0000 0.0000
Pd 0.0518 0.6275 0.8068
Pd 0.8404 0.2072 0.6189
Pd 0.4523 0.9046 0.7232
Pd 0.1596 0.7928 0.3811
Cu 0.7592 0.5184 0.4897
Pd 0.9482 0.3725 0.1932

Record 9
Entry from Alexandria: an optimized crystal structure of V2Cu5Pd4 (PBE).

Summary:
Total magnetization in μB/f.u.: 0.37
Formation energy from the elements in meV/atom: 197
Symmetry: C2/m, No. 12

Cell lengths 2.6024, 6.4238, 10.2675 Å; angles 101.49, 97.28, 90.00 degrees
Positions (direct):
Pd 0.0411 0.6900 0.0823
Cu 0.5000 0.0000 0.0000
Pd 0.3365 0.3357 0.6731
Cu 0.1338 0.0135 0.2677
Cu 0.8662 0.9865 0.7323
Cu 0.7895 0.6430 0.5790
V 0.0841 0.3401 0.1682
Pd 0.9589 0.3100 0.9177
Pd 0.6635 0.6643 0.3269
Cu 0.2105 0.3570 0.4210
V 0.9159 0.6599 0.8318

Record 10
Entry from Alexandria: an optimized crystal structure of V2CuPd2 (PBE).

Summary:
Total magnetization in μB/f.u.: 0.00
Formation energy from the elements in meV/atom: 74
Symmetry: P4/mbm, No. 127

Cell lengths 7.4165, 7.4165, 2.7090 Å; angles 90.00, 90.00, 90.00 degrees
Positions (direct):
V 0.3319 0.1681 0.5000
Pd 0.6300 0.1300 0.0000
Pd 0.1300 0.3700 0.0000
V 0.6681 0.8319 0.5000
V 0.1681 0.6681 0.5000
Cu 0.5000 0.5000 0.0000
Pd 0.3700 0.8700 0.0000
V 0.8319 0.3319 0.5000
Pd 0.8700 0.6300 0.0000
Cu 0.0000 0.0000 0.0000

Record 11
Entry from Alexandria: an optimized crystal structure of V6CuPd12 (PBE).

Summary:
Total magnetization in μB/f.u.: 6.08
Formation energy from the elements in meV/atom: -119
Symmetry: R-3, No. 148

Cell lengths 6.5812, 6.5812, 6.5812 Å; angles 89.15, 89.15, 89.15 degrees
Positions (direct):
V 0.7345 0.2734 0.1111
Pd 0.8531 0.6359 0.9770
Pd 0.5699 0.1958 0.4716
V 0.7266 0.8889 0.2655
Pd 0.1469 0.3641 0.0230
V 0.2734 0.1111 0.7345
Pd 0.6359 0.9770 0.8531
Pd 0.3641 0.0230 0.1469
Pd 0.8042 0.5284 0.4301
V 0.2655 0.7266 0.8889
Pd 0.4301 0.8042 0.5284
V 0.1111 0.7345 0.2734
Pd 0.9770 0.8531 0.6359
Pd 0.4716 0.5699 0.1958
Cu 0.0000 0.0000 0.0000
Pd 0.1958 0.4716 0.5699
Pd 0.5284 0.4301 0.8042
V 0.8889 0.2655 0.7266
Pd 0.0230 0.1469 0.3641

Record 12
Entry from Alexandria: an optimized crystal structure of VCuPd14 (PBE).

Summary:
Total magnetization in μB/f.u.: 0.03
Formation energy from the elements in meV/atom: -87
Symmetry: P4/mmm, No. 123

Cell lengths 5.5848, 5.5848, 7.7482 Å; angles 90.00, 90.00, 90.00 degrees
Positions (direct):
Cu 0.3750 0.3750 0.5000
Pd 0.6274 0.6274 0.7408
Pd 0.3750 0.8750 0.0000
Pd 0.6274 0.1226 0.2592
Pd 0.8750 0.3750 0.5000
Pd 0.8750 0.8750 0.0000
Pd 0.1226 0.1226 0.2592
Pd 0.3750 0.8750 0.5000
Pd 0.8750 0.3750 0.0000
Pd 0.1226 0.6274 0.2592
Pd 0.6274 0.1226 0.7408
Pd 0.6274 0.6274 0.2592
Pd 0.3750 0.3750 0.0000
Pd 0.1226 0.1226 0.7408
V 0.8750 0.8750 0.5000
Pd 0.1226 0.6274 0.7408